An optimized crystal structure of NaNdEr2Se4, computed with PBE-GGA.

abc: 7.1594 4.0833 7.2065
angles: 90.00 108.83 90.00
Closest atoms and distances in Å follow each position.
Element x y z (fractional)
Na 0.0000 0.0000 0.0000  6 Se 2.95-2.97
Nd 0.5000 0.5000 0.0000  6 Se 2.99
Er 0.0000 0.5000 0.5000  6 Se 2.86
Er 0.5000 0.0000 0.5000  6 Se 2.87-2.90
Se 0.2412 0.0000 0.7368  3 Er 2.86-2.90, 1 Na 2.95, 2 Nd 2.99
Se 0.2529 0.5000 0.2639  3 Er 2.86-2.87, 2 Na 2.97, 1 Nd 2.99
Se 0.7471 0.5000 0.7361  3 Er 2.86-2.87, 2 Na 2.97, 1 Nd 2.99
Se 0.7588 0.0000 0.2632  3 Er 2.86-2.90, 1 Na 2.95, 2 Nd 2.99

Values from the calculation:
Calculated volume: 199.40 Å³/f.u.
Symmetry: P2/m, No. 10
Formation energy from raw total energies: -1.732 eV per atom
Calculated total energy: -5.376 eV/atom